1.
Density functional theory data (PBE) for an optimized crystal structure of Y2OsPt.

a b c (Å): 3.468 3.468 6.854
angles (deg): 90.00 90.00 90.00
Positions (direct):
Y 0.000 0.000 0.243
Y 0.000 0.000 0.757
Os 0.500 0.500 0.000
Pt 0.500 0.500 0.500

Output
* total energy: -8.23 eV per atom
* space-group type: P4/mmm, No. 123
* density: 11.3 g cm⁻³
* volume: 20.6 Å³ per atom

***

2.
Density functional theory data (PBE) for an optimized crystal structure of Ac2La2Hg.

a b c (Å): 12.351 12.351 12.351
angles (deg): 161.62 161.62 26.11
Positions (direct):
Ac 0.086 0.086 0.000
Ac 0.914 0.914 0.000
La 0.301 0.301 0.000
La 0.699 0.699 0.000
Hg 0.500 0.500 0.000

Output
* total energy: -3.85 eV per atom
* space-group type: I4/mmm, No. 139
* ΔE to the lowest computed polymorph: 0 meV/atom
* density: 8.3 g cm⁻³
* volume: 37.5 Å³ per atom

***

3.
Density functional theory data (PBE) for an optimized crystal structure of SrSm2Ga6.

a b c (Å): 7.435 7.435 4.367
angles (deg): 90.00 90.00 120.00
Positions (direct):
Sr 0.000 0.000 0.000
Sm 0.333 0.667 0.000
Sm 0.667 0.333 0.000
Ga 0.000 0.337 0.500
Ga 0.000 0.663 0.500
Ga 0.337 0.000 0.500
Ga 0.337 0.337 0.500
Ga 0.663 0.000 0.500
Ga 0.663 0.663 0.500

Output
* total energy: -3.85 eV per atom
* space-group type: P6/mmm, No. 191
* density: 6.4 g cm⁻³
* volume: 23.2 Å³ per atom

***

4.
Density functional theory data (PBE) for an optimized crystal structure of LiAlOF2.

a b c (Å): 3.330 3.330 3.992
angles (deg): 90.00 90.00 90.00
Positions (direct):
Li 0.000 0.000 0.000
Al 0.500 0.500 0.500
O 0.000 0.000 0.500
F 0.000 0.500 0.000
F 0.500 0.000 0.000

Output
* total energy: -4.63 eV per atom
* space-group type: P4/mmm, No. 123
* ΔE to the lowest computed polymorph: 1103 meV/atom
* density: 3.3 g cm⁻³
* E_form (uncorrected): -1.755 eV/atom
* volume: 8.9 Å³ per atom

***

5.
Density functional theory data (PBE) for an optimized crystal structure of Dy6MgSc3.

a b c (Å): 10.712 4.894 10.883
angles (deg): 90.00 91.10 90.00
Positions (direct):
Dy 0.048 0.250 0.399
Dy 0.144 0.750 0.198
Dy 0.243 0.250 0.995
Dy 0.342 0.750 0.798
Dy 0.348 0.250 0.298
Dy 0.448 0.250 0.599
Dy 0.552 0.750 0.401
Dy 0.652 0.750 0.702
Dy 0.658 0.250 0.202
Dy 0.757 0.750 0.005
Dy 0.856 0.250 0.802
Dy 0.952 0.750 0.601
Mg 0.453 0.750 0.093
Mg 0.547 0.250 0.907
Sc 0.049 0.750 0.898
Sc 0.150 0.250 0.698
Sc 0.250 0.750 0.500
Sc 0.750 0.250 0.500
Sc 0.850 0.750 0.302
Sc 0.951 0.250 0.102

Output
* total energy: -4.79 eV per atom
* space-group type: P2_1/m, No. 11
* density: 6.6 g cm⁻³
* volume: 28.5 Å³ per atom

***

6.
Density functional theory data (PBE) for an optimized crystal structure of Mn2BePS.

a b c (Å): 4.424 4.424 3.776
angles (deg): 90.00 90.00 90.00
Positions (direct):
Mn 0.000 0.500 0.000
Mn 0.500 0.000 0.000
Be 0.000 0.000 0.500
P 0.500 0.500 0.500
S 0.000 0.000 0.000

Output
* total energy: -5.95 eV per atom
* space-group type: P4/mmm, No. 123
* density: 4.1 g cm⁻³
* E_form (uncorrected): 0.373 eV/atom
* volume: 14.8 Å³ per atom

***

7.
Density functional theory data (PBE) for an optimized crystal structure of CdPbC2.

a b c (Å): 6.446 6.446 6.446
angles (deg): 131.37 131.37 71.23
Positions (direct):
Cd 0.000 0.000 0.000
Cd 0.750 0.250 0.500
Pb 0.250 0.750 0.500
Pb 0.500 0.500 0.000
C 0.121 0.625 0.996
C 0.375 0.371 0.496
C 0.629 0.125 0.004
C 0.875 0.879 0.504

Output
* total energy: -3.98 eV per atom
* space-group type: I-42d, No. 122
* ΔE to the lowest computed polymorph: 0 meV/atom
* density: 7.7 g cm⁻³
* volume: 18.5 Å³ per atom

***

8.
Density functional theory data (PBE) for an optimized crystal structure of Ce6C3N2Cl.

a b c (Å): 8.261 8.261 7.437
angles (deg): 102.42 102.42 25.82
Positions (direct):
Ce 0.001 0.001 0.276
Ce 0.324 0.324 0.907
Ce 0.331 0.331 0.419
Ce 0.669 0.669 0.581
Ce 0.676 0.676 0.093
Ce 0.999 0.999 0.724
C 0.167 0.167 0.831
C 0.500 0.500 0.500
C 0.833 0.833 0.169
N 0.172 0.172 0.338
N 0.828 0.828 0.662
Cl 0.500 0.500 0.000

Output
* total energy: -7.62 eV per atom
* space-group type: C2/m, No. 12
* density: 7.2 g cm⁻³
* E_form (uncorrected): -0.803 eV/atom
* volume: 18.0 Å³ per atom

***

9.
Density functional theory data (PBE) for an optimized crystal structure of BiHO2.

a b c (Å): 5.154 5.154 5.154
angles (deg): 41.54 41.54 41.54
Positions (direct):
Bi 0.000 0.000 0.000
H 0.500 0.500 0.500
O 0.414 0.414 0.414
O 0.586 0.586 0.586

Output
* total energy: -5.35 eV per atom
* space-group type: R-3m, No. 166
* ΔE to the lowest computed polymorph: 99 meV/atom
* density: 7.4 g cm⁻³
* volume: 13.6 Å³ per atom

***

10.
Density functional theory data (PBE) for an optimized crystal structure of Y2TmMg5Sc2.

a b c (Å): 10.330 10.330 4.929
angles (deg): 90.00 90.00 90.00
Positions (direct):
Y 0.179 0.321 0.000
Y 0.321 0.821 0.000
Y 0.679 0.179 0.000
Y 0.821 0.679 0.000
Tm 0.000 0.000 0.000
Tm 0.500 0.500 0.000
Mg 0.000 0.500 0.500
Mg 0.068 0.797 0.500
Mg 0.203 0.068 0.500
Mg 0.297 0.568 0.500
Mg 0.432 0.297 0.500
Mg 0.500 0.000 0.500
Mg 0.568 0.703 0.500
Mg 0.703 0.432 0.500
Mg 0.797 0.932 0.500
Mg 0.932 0.203 0.500
Sc 0.116 0.616 0.000
Sc 0.384 0.116 0.000
Sc 0.616 0.884 0.000
Sc 0.884 0.384 0.000

Output
* total energy: -3.77 eV per atom
* space-group type: P4/mbm, No. 127
* density: 3.5 g cm⁻³
* volume: 26.3 Å³ per atom

***

11.
Density functional theory data (PBE) for an optimized crystal structure of SrCoPt2.

a b c (Å): 8.827 8.827 8.827
angles (deg): 147.11 147.11 47.20
Positions (direct):
Sr 0.000 0.000 0.000
Sr 0.750 0.250 0.500
Co 0.250 0.750 0.500
Co 0.500 0.500 0.000
Pt 0.326 0.625 0.201
Pt 0.375 0.576 0.701
Pt 0.424 0.125 0.799
Pt 0.875 0.674 0.299

Output
* total energy: -5.34 eV per atom
* space-group type: I-42d, No. 122
* density: 8.8 g cm⁻³
* volume: 25.2 Å³ per atom

***

12.
Density functional theory data (PBE) for an optimized crystal structure of SrPa2PN6.

a b c (Å): 5.224 5.224 5.392
angles (deg): 90.00 90.00 90.00
Positions (direct):
Sr 0.000 0.000 0.000
Pa 0.000 0.500 0.468
Pa 0.500 0.000 0.468
P 0.500 0.500 0.097
N 0.000 0.000 0.554
N 0.280 0.280 0.230
N 0.280 0.720 0.230
N 0.500 0.500 0.784
N 0.720 0.280 0.230
N 0.720 0.720 0.230

Output
* total energy: -8.24 eV per atom
* space-group type: P4mm, No. 99
* density: 7.5 g cm⁻³
* E_form (uncorrected): -0.634 eV/atom
* volume: 14.7 Å³ per atom

***

13.
Density functional theory data (PBE) for an optimized crystal structure of Sm4Tm3Ga4.

a b c (Å): 10.294 10.294 10.294
angles (deg): 160.35 128.10 56.02
Positions (direct):
Sm 0.013 0.835 0.178
Sm 0.343 0.165 0.178
Sm 0.657 0.835 0.822
Sm 0.987 0.165 0.822
Tm 0.000 0.500 0.500
Tm 0.407 0.407 0.000
Tm 0.593 0.593 0.000
Ga 0.277 0.777 0.500
Ga 0.278 0.000 0.278
Ga 0.722 0.000 0.722
Ga 0.723 0.223 0.500

Output
* total energy: -4.44 eV per atom
* space-group type: Immm, No. 71
* density: 8.0 g cm⁻³
* volume: 26.2 Å³ per atom

***

14.
Density functional theory data (PBE) for an optimized crystal structure of CaPr2SiN4.

a b c (Å): 6.450 6.450 12.128
angles (deg): 90.00 90.00 148.93
Positions (direct):
Ca 0.119 0.881 0.750
Ca 0.881 0.119 0.250
Pr 0.370 0.630 0.540
Pr 0.370 0.630 0.960
Pr 0.630 0.370 0.040
Pr 0.630 0.370 0.460
Si 0.186 0.814 0.250
Si 0.814 0.186 0.750
N 0.000 0.000 0.000
N 0.000 0.000 0.500
N 0.267 0.733 0.133
N 0.267 0.733 0.367
N 0.386 0.614 0.750
N 0.614 0.386 0.250
N 0.733 0.267 0.633
N 0.733 0.267 0.867

Output
* total energy: -7.32 eV per atom
* space-group type: Cmcm, No. 63
* density: 5.2 g cm⁻³
* E_form (uncorrected): -1.039 eV/atom
* volume: 16.3 Å³ per atom

***

15.
Density functional theory data (PBE) for an optimized crystal structure of NaTeI3.

a b c (Å): 11.888 9.170 8.764
angles (deg): 90.00 97.53 90.00
Positions (direct):
Na 0.097 0.188 0.084
Na 0.097 0.312 0.584
Na 0.903 0.688 0.416
Na 0.903 0.812 0.916
Te 0.438 0.090 0.889
Te 0.438 0.410 0.389
Te 0.562 0.590 0.611
Te 0.562 0.910 0.111
I 0.066 0.641 0.725
I 0.066 0.859 0.225
I 0.270 0.622 0.313
I 0.270 0.878 0.813
I 0.284 0.157 0.388
I 0.284 0.343 0.888
I 0.716 0.657 0.112
I 0.716 0.843 0.612
I 0.730 0.122 0.187
I 0.730 0.378 0.687
I 0.934 0.141 0.775
I 0.934 0.359 0.275

Output
* total energy: -2.31 eV per atom
* space-group type: P2_1/c, No. 14
* ΔE to the lowest computed polymorph: 0 meV/atom
* density: 3.7 g cm⁻³
* E_form (uncorrected): -0.483 eV/atom
* volume: 47.4 Å³ per atom

***

16.
Density functional theory data (PBE) for an optimized crystal structure of YPa2Al.

a b c (Å): 11.649 11.649 11.649
angles (deg): 15.54 15.54 15.54
Positions (direct):
Y 0.000 0.000 0.000
Pa 0.092 0.092 0.092
Pa 0.908 0.908 0.908
Al 0.500 0.500 0.500

Output
* total energy: -7.08 eV per atom
* space-group type: R-3m, No. 166
* ΔE to the lowest computed polymorph: 236 meV/atom
* density: 9.7 g cm⁻³
* volume: 24.7 Å³ per atom

***

17.
Density functional theory data (PBE) for an optimized crystal structure of Rb2HfOsO6.

a b c (Å): 5.751 5.751 5.751
angles (deg): 60.00 60.00 60.00
Positions (direct):
Rb 0.250 0.250 0.250
Rb 0.750 0.750 0.750
Hf 0.000 0.000 0.000
Os 0.500 0.500 0.500
O 0.259 0.259 0.741
O 0.259 0.741 0.259
O 0.259 0.741 0.741
O 0.741 0.259 0.259
O 0.741 0.259 0.741
O 0.741 0.741 0.259

Output
* total energy: -7.24 eV per atom
* space-group type: Fm-3m, No. 225
* density: 7.8 g cm⁻³
* E_form (uncorrected): -1.952 eV/atom
* volume: 13.5 Å³ per atom

***

18.
Density functional theory data (PBE) for an optimized crystal structure of LiTl2ClF.

a b c (Å): 5.977 5.977 3.498
angles (deg): 90.00 90.00 90.00
Positions (direct):
Li 0.000 0.000 0.000
Tl 0.000 0.500 0.000
Tl 0.500 0.000 0.000
Cl 0.500 0.500 0.500
F 0.000 0.000 0.500

Output
* total energy: -3.22 eV per atom
* space-group type: P4/mmm, No. 123
* density: 6.2 g cm⁻³
* E_form (uncorrected): -1.146 eV/atom
* volume: 25.0 Å³ per atom

***

19.
Density functional theory data (PBE) for an optimized crystal structure of Rb2AcPb2Se4.

a b c (Å): 9.699 9.699 8.634
angles (deg): 113.07 113.07 27.87
Positions (direct):
Rb 0.121 0.121 0.071
Rb 0.879 0.879 0.929
Ac 0.000 0.000 0.500
Pb 0.314 0.314 0.442
Pb 0.686 0.686 0.558
Se 0.174 0.174 0.739
Se 0.467 0.467 0.714
Se 0.533 0.533 0.286
Se 0.826 0.826 0.261

Output
* total energy: -4.10 eV per atom
* space-group type: C2/m, No. 12
* density: 5.4 g cm⁻³
* E_form (uncorrected): -1.052 eV/atom
* volume: 38.6 Å³ per atom

***

20.
Density functional theory data (PBE) for an optimized crystal structure of RbAlCd2Hg.

a b c (Å): 5.464 5.464 5.414
angles (deg): 90.00 90.00 90.00
Positions (direct):
Rb 0.000 0.000 0.000
Al 0.500 0.500 0.500
Cd 0.000 0.500 0.500
Cd 0.500 0.000 0.500
Hg 0.500 0.500 0.000

Output
* total energy: -1.34 eV per atom
* space-group type: P4/mmm, No. 123
* density: 5.5 g cm⁻³
* volume: 32.3 Å³ per atom